VASP calculation (PBE) on SrLaMn2 after structural relaxation.

The formation enthalpy at 0 K comes out at 1.184 eV per atom. The polymorph energy (0 for the lowest one) comes out at 920 meV/atom. Its crystal system is cubic.

The space group is Fm-3m (No. 225) and the conventional cell measures 7.068, 7.068 and 7.068 Å, with angles of 90.00, 90.00 and 90.00 degrees. The inequivalent atoms are Sr at (0.000, 0.000, 0.000), La at (0.000, 0.000, 0.500) and Mn at (0.250, 0.250, 0.250).



VASP calculation (PBE) on Ca2AlPdO6 after structural relaxation.

The formation energy without anion corrections is -2034 meV/atom. Its crystal system is monoclinic.

The space group is P2_1/c (No. 14) and the conventional cell measures 5.374, 5.466 and 9.306 Å, with angles of 90.00, 125.17 and 90.00 degrees. The inequivalent atoms are Ca at (0.239, 0.051, 0.250), Al at (0.500, 0.000, 0.000), Pd at (0.000, 0.000, 0.500), O at (0.165, 0.198, 0.956), O at (0.259, 0.712, 0.955) and O at (0.344, 0.020, 0.758).



Calculated volume across the listed records, respectively: 22.07 11.17 Å³ per atom.